(1)
First-principles (GGA-PBE) data for an optimized crystal structure of Pr4Ho6Th, as listed in the Alexandria database.

Cell lengths 5.8007, 9.6973, 26.0060 Å; angles 90.00, 90.00, 90.00 degrees
With the nearest neighbours (Å) after each atom.
Space group Cmcm (No. 63)
Symmetry-distinct sites (fractional):
Pr  0.0000  0.0320  0.1235 (multiplicity 8)  6 Ho 3.23-3.57
Pr  0.0000  0.3436  0.0442 (multiplicity 8)  8 Ho 3.47-3.84, 2 Pr 3.66-3.81
Ho  0.0000  0.0000  0.0000 (multiplicity 4)  8 Pr 3.23-3.53
Ho  0.0000  0.0300  0.2500 (multiplicity 4)  3 Th 3.26-3.31, 2 Pr 3.29, 2 Ho 3.64
Ho  0.0000  0.3108  0.6031 (multiplicity 8)  6 Pr 3.32-3.68
Ho  0.0000  0.3621  0.1844 (multiplicity 8)  5 Ho 3.41-3.81, 4 Pr 3.57-3.69, 3 Th 3.64-3.74
Th  0.0000  0.3064  0.7500 (multiplicity 4)  5 Ho 3.26-3.64

Summary:
- ΔH_f (0 K) (meV per atom) = 130.2



(2)
First-principles (GGA-PBE) data for an optimized crystal structure of Sm3CdAg, as listed in the Alexandria database.

Cell lengths 11.5221, 6.9002, 15.4768 Å; angles 90.00, 107.61, 90.00 degrees
With the nearest neighbours (Å) after each atom.
Space group C2/c (No. 15)
Symmetry-distinct sites (fractional):
Sm  0.0238  0.2135  0.0676 (multiplicity 8)  2 Ag 3.02-3.10, 2 Cd 3.29-3.36
Sm  0.1827  0.0551  0.8122 (multiplicity 8)  2 Ag 3.08-3.31, 2 Cd 3.21-3.38, 1 Sm 3.37
Sm  0.2386  0.3974  0.3958 (multiplicity 8)  2 Ag 2.90-3.03
Cd  0.0375  0.3315  0.6479 (multiplicity 8)  1 Ag 2.96, 3 Sm 3.21-3.29
Ag  0.0000  0.3234  0.2500 (multiplicity 4)  2 Cd 2.96, 6 Sm 3.02-3.31
Ag  0.2500  0.2500  0.0000 (multiplicity 4)  6 Sm 2.90-3.10

Summary:
- E above lowest polymorph (kJ/mol of formula units) = 76.6
- ΔH_f (0 K) (meV per atom) = -56.9



(3)
First-principles (GGA-PBE) data for an optimized crystal structure of ReAgRh2, as listed in the Alexandria database.

Cell lengths 2.7835, 2.7835, 27.2597 Å; angles 90.00, 90.00, 120.00 degrees
With the nearest neighbours (Å) after each atom.
Space group R-3m (No. 166, hexagonal axes)
Symmetry-distinct sites (fractional):
Re  0.0000  0.0000  0.0000 (multiplicity 3)  6 Rh 2.66, 6 Re 2.78
Ag  0.0000  0.0000  0.5000 (multiplicity 3)  6 Ag 2.78, 6 Rh 2.91
Rh  0.0000  0.0000  0.2557 (multiplicity 6)  3 Re 2.66, 6 Rh 2.78, 3 Ag 2.91

Summary:
- E above lowest polymorph (kJ/mol of formula units) = 16.3
- ΔH_f (0 K) (meV per atom) = 36.2



(4)
First-principles (GGA-PBE) data for an optimized crystal structure of TbDy3Hg4, as listed in the Alexandria database.

Cell lengths 5.2444, 5.2444, 7.5166 Å; angles 90.00, 90.00, 90.00 degrees
With the nearest neighbours (Å) after each atom.
Space group P4/mmm (No. 123)
Symmetry-distinct sites (fractional):
Tb  0.0000  0.0000  0.0000 (multiplicity 1)  8 Hg 3.23
Dy  0.0000  0.0000  0.5000 (multiplicity 1)  8 Hg 3.22
Dy  0.5000  0.5000  0.0000 (multiplicity 1)  8 Hg 3.23
Dy  0.5000  0.5000  0.5000 (multiplicity 1)  8 Hg 3.22
Hg  0.0000  0.5000  0.2515 (multiplicity 4)  6 Dy 3.22-3.23, 2 Tb 3.23

Summary:
- ΔH_f (0 K) (meV per atom) = -481.0



(5)
First-principles (GGA-PBE) data for an optimized crystal structure of RbRu6S8, as listed in the Alexandria database.

Cell lengths 9.3783, 9.3783, 11.4409 Å; angles 90.00, 90.00, 120.00 degrees
With the nearest neighbours (Å) after each atom.
Space group R-3 (No. 148, hexagonal axes)
Symmetry-distinct sites (fractional):
Rb  0.0000  0.0000  0.0000 (multiplicity 3)  8 S 3.01-3.37
Ru  0.0104  0.1829  0.5991 (multiplicity 18)  5 S 2.29-2.56
S  0.0000  0.0000  0.2633 (multiplicity 6)  3 Ru 2.29
S  0.0059  0.7039  0.5906 (multiplicity 18)  4 Ru 2.33-2.56

Summary:
- ΔE_f (raw) (eV per atom) = -0.310



(6)
First-principles (GGA-PBE) data for an optimized crystal structure of KDyOs2O8, as listed in the Alexandria database.

Cell lengths 5.9917, 5.9917, 7.6159 Å; angles 90.00, 90.00, 120.00 degrees
With the nearest neighbours (Å) after each atom.
Space group P-3m1 (No. 164)
Symmetry-distinct sites (fractional):
K  0.0000  0.0000  0.0000 (multiplicity 1)  6 O 2.97
Dy  0.0000  0.0000  0.5000 (multiplicity 1)  6 O 2.25
Os  0.3333  0.6667  0.7677 (multiplicity 2)  4 O 1.77-1.82
O  0.1686  0.3372  0.6853 (multiplicity 6)  1 Os 1.82
O  0.3333  0.6667  0.9998 (multiplicity 2)  1 Os 1.77

Summary:
- ΔE_f (raw) (eV per atom) = -1.545



Number 1: VASP energy -0.1756 Ha/atom, calculated volume 1462.9 Å³/cell. Number 2: VASP energy -0.1338 Ha/atom, calculated volume 1172.8 Å³/cell. Number 3: VASP energy -0.2743 Ha/atom, calculated volume 182.9 Å³/cell. Number 4: VASP energy -0.1079 Ha/atom, calculated volume 206.7 Å³/cell. Number 5: VASP energy -0.2310 Ha/atom, calculated volume 871.4 Å³/cell. Number 6: VASP energy -0.2645 Ha/atom, calculated volume 236.8 Å³/cell.